[1]
NaCdBr3 after structural relaxation. Source: the Alexandria database, functional PBE.

The offset from the most stable computed form comes out at 0.00 eV per formula unit. The electronic total energy is -12.9 eV/f.u.

The structure belongs to space group R-3 (No. 148, hexagonal axes); the cell edges are 7.2255, 7.2255 and 20.1229 Å and the angles 90.00°, 90.00° and 120.00°. Symmetry generates all atoms from Na at (0.0000, 0.0000, 0.1469), Cd at (0.0000, 0.0000, 0.3414) and Br at (0.0134, 0.6446, 0.9200).

[2]
Na2CdBr4 after structural relaxation. Source: the Alexandria database, functional PBE.

The offset from the most stable computed form comes out at 0.90 eV per formula unit. The electronic total energy is -18.1 eV/f.u.

The structure belongs to space group I4/mmm (No. 139); the cell edges are 5.582, 5.582 and 14.924 Å and the angles 90.00°, 90.00° and 90.00°. Symmetry generates all atoms from Na at (0.000, 0.000, 0.131), Cd at (0.000, 0.000, 0.500), Br at (0.000, 0.000, 0.319) and Br at (0.000, 0.500, 0.000).

[3]
NaCd2Br after structural relaxation. Source: the Alexandria database, functional PBE.

The offset from the most stable computed form comes out at 0.00 eV per formula unit. The electronic total energy is -6.4 eV/f.u.

The structure belongs to space group I-42d (No. 122); the cell edges are 9.258, 9.258 and 5.693 Å and the angles 90.00°, 90.00° and 90.00°. Symmetry generates all atoms from Na at (0.000, 0.000, 0.000), Cd at (0.234, 0.250, 0.625) and Br at (0.000, 0.000, 0.500).

[4]
NaCd2Br after structural relaxation. Source: the Alexandria database, functional PBE.

The offset from the most stable computed form comes out at 0.97 eV per formula unit. The electronic total energy is -5.5 eV/f.u.

The structure belongs to space group Fm-3m (No. 225); the cell edges are 8.024, 8.024 and 8.024 Å and the angles 90.00°, 90.00° and 90.00°. Symmetry generates all atoms from Na at (0.000, 0.000, 0.000), Cd at (0.250, 0.250, 0.250) and Br at (0.000, 0.000, 0.500).

[5]
NaCdBr3 after structural relaxation. Source: the Alexandria database, functional PBE.

The offset from the most stable computed form comes out at 0.85 eV per formula unit. The electronic total energy is -12.0 eV/f.u.

The structure belongs to space group Pm-3m (No. 221); the cell edges are 5.518, 5.518 and 5.518 Å and the angles 90.00°, 90.00° and 90.00°. Symmetry generates all atoms from Na at (0.000, 0.000, 0.000), Cd at (0.500, 0.500, 0.500) and Br at (0.000, 0.500, 0.500).

[6]
NaCdBr2 after structural relaxation. Source: the Alexandria database, functional PBE.

The offset from the most stable computed form comes out at 0.07 eV per formula unit. The electronic total energy is -8.9 eV/f.u.

The structure belongs to space group C2/c (No. 15); the cell edges are 16.725, 4.823 and 6.487 Å and the angles 90.00°, 106.13° and 90.00°. Symmetry generates all atoms from Na at (0.250, 0.250, 0.000), Cd at (0.000, 0.000, 0.000) and Br at (0.144, 0.258, 0.293).

[7]
Na2CdBr4 after structural relaxation. Source: the Alexandria database, functional PBE.

The offset from the most stable computed form comes out at 0.18 eV per formula unit. The electronic total energy is -18.8 eV/f.u.

The structure belongs to space group C2/m (No. 12); the cell edges are 14.832, 4.250 and 7.500 Å and the angles 90.00°, 118.22° and 90.00°. Symmetry generates all atoms from Na at (0.215, 0.000, 0.197), Cd at (0.000, 0.500, 0.500), Br at (0.112, 0.500, 0.909) and Br at (0.132, 0.000, 0.491).

[8]
NaCdBr2 after structural relaxation. Source: the Alexandria database, functional PBE.

The offset from the most stable computed form comes out at 0.00 eV per formula unit. The electronic total energy is -9.0 eV/f.u.

The structure belongs to space group I-42d (No. 122); the cell edges are 6.489, 6.489 and 14.584 Å and the angles 90.00°, 90.00° and 90.00°. Symmetry generates all atoms from Na at (0.000, 0.000, 0.000), Cd at (0.000, 0.000, 0.500) and Br at (0.249, 0.250, 0.125).

Formation energy without anion corrections, respectively: -1119, -1118, -404, -161, -950, -840, -1222, -857 meV/atom.